A geometry-optimized Al2FeB2 structure. Source: Alexandria, functional GGA-PBEsol.

Output
DFT formation energy (eV per atom): -0.24
D(E_F) (states/eV per cell): 3.42

a b c (Å): 5.486 5.486 3.134
angles (deg): 90.00 90.00 90.00
Positions (direct):
Al  0.185  0.315  0.000
Al  0.315  0.815  0.000
Al  0.685  0.185  0.000
Al  0.815  0.685  0.000
Fe  0.000  0.000  0.500
Fe  0.500  0.500  0.500
B  0.110  0.610  0.500
B  0.390  0.110  0.500
B  0.610  0.890  0.500
B  0.890  0.390  0.500

***

A geometry-optimized AlFe3B structure. Source: Alexandria, functional GGA-PBEsol.

Output
DFT formation energy (eV per atom): 1.96
Excess energy over the best structure of this formula in the dataset (eV per formula unit): 10.60
D(E_F) (states/eV per cell): 8.92

a b c (Å): 4.166 4.166 4.166
angles (deg): 90.00 90.00 90.00
Positions (direct):
Al  0.000  0.000  0.000
Fe  0.000  0.000  0.500
Fe  0.000  0.500  0.000
Fe  0.500  0.000  0.000
B  0.500  0.500  0.500

***

A geometry-optimized NaAl6Fe3Si6B3O31 structure. Source: Alexandria, functional GGA-PBEsol.

Output
Energy relative to the elements, uncorrected (kcal/mol of atoms): -58.759
D(E_F) (states/eV per cell): 14.03

a b c (Å): 9.368 9.368 9.368
angles (deg): 113.74 113.74 113.74
Positions (direct):
Na  0.000  0.000  0.000
Al  0.114  0.330  0.665
Al  0.114  0.665  0.330
Al  0.330  0.114  0.665
Al  0.330  0.665  0.114
Al  0.665  0.114  0.330
Al  0.665  0.330  0.114
Fe  0.342  0.342  0.528
Fe  0.342  0.528  0.342
Fe  0.528  0.342  0.342
Si  0.579  0.769  0.961
Si  0.579  0.961  0.769
Si  0.769  0.579  0.961
Si  0.769  0.961  0.579
Si  0.961  0.579  0.769
Si  0.961  0.769  0.579
B  0.001  0.331  0.331
B  0.331  0.001  0.331
B  0.331  0.331  0.001
O  0.036  0.770  0.770
O  0.131  0.555  0.838
O  0.131  0.838  0.555
O  0.141  0.320  0.320
O  0.170  0.170  0.548
O  0.170  0.548  0.170
O  0.263  0.413  0.933
O  0.263  0.933  0.413
O  0.320  0.141  0.320
O  0.320  0.320  0.141
O  0.358  0.539  0.730
O  0.358  0.730  0.539
O  0.413  0.263  0.933
O  0.413  0.933  0.263
O  0.532  0.532  0.532
O  0.539  0.358  0.730
O  0.539  0.730  0.358
O  0.548  0.170  0.170
O  0.555  0.131  0.838
O  0.555  0.838  0.131
O  0.661  0.953  0.953
O  0.730  0.358  0.539
O  0.730  0.539  0.358
O  0.770  0.036  0.770
O  0.770  0.770  0.036
O  0.838  0.131  0.555
O  0.838  0.555  0.131
O  0.933  0.263  0.413
O  0.933  0.413  0.263
O  0.953  0.661  0.953
O  0.953  0.953  0.661